Computed, not measured: a crystal of Tc2P3 relaxed with PBEsol at the meta-GGA SCAN level of DFT.

abc: 3.066 6.324 7.675
angles: 78.52 78.48 75.97
Sites, in units of the cell vectors:
1 P 0.587 0.148 0.679
2 Tc 0.751 0.135 0.364
3 Tc 0.364 0.416 0.857
4 Tc 0.249 0.865 0.636
5 P 0.111 0.820 0.959
6 P 0.098 0.432 0.372
7 P 0.413 0.852 0.321
8 P 0.902 0.568 0.628
9 P 0.889 0.180 0.041
10 Tc 0.636 0.584 0.143

## Properties
E above lowest polymorph ... 0.007 eV per atom
Fermi-level density of states ... 1.2 states/eV/f.u.
Calculated volume ... 139.68 Å³ per cell
Energy of formation ... -0.58 eV per atom
Space group ... No. 12

***

Computed, not measured: a crystal of LiLa3Pd relaxed with PBEsol at the meta-GGA SCAN level of DFT.

abc: 5.667 5.667 5.667
angles: 90.00 90.00 90.00
Sites, in units of the cell vectors:
1 La 0.000 0.000 0.500
2 La 0.000 0.500 0.000
3 Li 0.500 0.500 0.500
4 Pd 0.000 0.000 0.000
5 La 0.500 0.000 0.000

## Properties
Fermi-level density of states ... 7.6 states/eV/f.u.
Calculated volume ... 181.99 Å³ per cell
Energy of formation ... -0.14 eV per atom
Space group ... No. 221

***

Computed, not measured: a crystal of Ni2Pt relaxed with PBEsol at the meta-GGA SCAN level of DFT.

abc: 4.467 5.136 6.827
angles: 78.64 77.55 72.98
Each line ends with the local moment (μB).
Sites, in units of the cell vectors:
1 Ni 0.240 0.579 0.922  0.95
2 Ni 0.760 0.421 0.078  0.95
3 Pt 0.737 0.261 0.759  0.37
4 Ni 0.246 0.086 0.921  0.94
5 Pt 0.263 0.739 0.241  0.37
6 Ni 0.748 0.750 0.760  0.87
7 Ni 0.754 0.914 0.079  0.94
8 Ni 0.252 0.250 0.240  0.87
9 Ni 0.241 0.417 0.586  0.90
10 Pt 0.745 0.095 0.406  0.33
11 Ni 0.759 0.583 0.414  0.90
12 Pt 0.255 0.905 0.594  0.33

## Properties
Fermi-level density of states ... 2.9 states/eV/f.u.
Calculated volume ... 144.73 Å³ per cell
Energy of formation ... -0.10 eV per atom
Space group ... No. 2